A relaxed structure of BaPaFeSe4. Source: Alexandria via LeMat-Bulk, functional GGA-PBE.

Summary:
total magnetization = 5.6 Bohr magnetons per cell
total energy = -6.045 eV/atom
ΔE_f (raw) = -1.214 eV per atom

Cell: 6.679 6.499 8.939 Å, 90.00 108.21 90.00°
Space group P2_1/m (No. 11)
Symmetry-distinct sites (fractional):
Ba: 0.239 0.250 0.054 x2
Pa: 0.253 0.250 0.555 x2
Fe: 0.247 0.750 0.332 x2
Se: 0.020 0.511 0.710 x4
Se: 0.421 0.750 0.138 x2
Se: 0.442 0.750 0.601 x2

=====

A relaxed structure of Ca2TlP. Source: Alexandria via LeMat-Bulk, functional GGA-PBE.

Summary:
total magnetization = 0.0 Bohr magnetons per cell
relative energy among the computed polymorphs = 31.3 kJ per mole of atoms
total energy = -3.292 eV/atom

Cell: 4.355 4.355 6.124 Å, 90.00 90.00 90.00°
Space group P4mm (No. 99)
Symmetry-distinct sites (fractional):
Ca: 0.000 0.000 0.000 x1
Ca: 0.500 0.500 0.462 x1
Tl: 0.500 0.500 0.956 x1
P: 0.000 0.000 0.491 x1

=====

A relaxed structure of Y4PSe2N. Source: Alexandria via LeMat-Bulk, functional GGA-PBE.

Summary:
total magnetization = 0.0 Bohr magnetons per cell
total energy = -7.518 eV/atom
ΔE_f (raw) = -1.698 eV per atom

Cell: 6.718 3.867 6.975 Å, 90.00 108.62 90.00°
Space group P2/m (No. 10)
Symmetry-distinct sites (fractional):
Y: 0.219 0.000 0.207 x2
Y: 0.239 0.500 0.785 x2
P: 0.500 0.000 0.000 x1
Se: 0.000 0.000 0.500 x1
Se: 0.500 0.500 0.500 x1
N: 0.000 0.500 0.000 x1

=====

A relaxed structure of TiTlAs. Source: Alexandria via LeMat-Bulk, functional GGA-PBE.

Summary:
total magnetization = 0.0 Bohr magnetons per cell
total energy = -5.343 eV/atom

Cell: 4.257 4.257 8.305 Å, 90.00 90.00 90.00°
Space group P4/nmm (No. 129, origin choice 2)
Symmetry-distinct sites (fractional):
Ti: 0.250 0.750 0.000 x2
Tl: 0.250 0.250 0.351 x2
As: 0.250 0.250 0.827 x2

=====

A relaxed structure of LiFe2Ru. Source: Alexandria via LeMat-Bulk, functional GGA-PBE.

Summary:
total magnetization = 7.7 Bohr magnetons per cell
total energy = -6.765 eV/atom

Cell: 2.985 3.915 8.022 Å, 90.00 90.00 90.00°
Space group Immm (No. 71)
Symmetry-distinct sites (fractional):
Li: 0.000 0.000 0.000 x2
Fe: 0.000 0.500 0.250 x4
Ru: 0.000 0.000 0.500 x2

=====

A relaxed structure of CdIr2W. Source: Alexandria via LeMat-Bulk, functional GGA-PBE.

Summary:
total magnetization = 0.0 Bohr magnetons per cell
total energy = -7.356 eV/atom

Cell: 6.369 6.369 6.369 Å, 90.00 90.00 90.00°
Space group F-43m (No. 216)
Symmetry-distinct sites (fractional):
Cd: 0.000 0.000 0.000 x4
Ir: 0.000 0.000 0.500 x4
Ir: 0.250 0.250 0.250 x4
W: 0.250 0.250 0.750 x4

=====

| no. | theoretical density (Mg/m³) | DOS at the Fermi energy (states/eV/cell) |
| --- | --- | --- |
| 1 | 6.668 | 8.144 |
| 2 | 4.510 | 4.583 |
| 3 | 5.401 | 2.745 |
| 4 | 7.220 | 4.722 |
| 5 | 7.783 | 9.489 |
| 6 | 17.500 | 25.747 |